Entry 1:
An optimized crystal structure of Sr2MgGaS5, computed with PBE.

```
Sr2MgGaS5
1.0
1.9460 -8.8495 0.0000
1.9460 8.8495 0.0000
0.0000 0.0000 12.0539
Sr Mg Ga S
4 2 2 10
Direct
0.1184 0.8816 0.5000 Sr
0.1270 0.8730 0.1293 Sr
0.8730 0.1270 0.6293 Sr
0.8816 0.1184 0.0000 Sr
0.2155 0.7845 0.8403 Mg
0.7845 0.2155 0.3403 Mg
0.4350 0.5650 0.2550 Ga
0.5650 0.4350 0.7550 Ga
0.0525 0.9475 0.8629 S
0.2924 0.7076 0.4803 S
0.3101 0.6899 0.1933 S
0.3558 0.6442 0.8190 S
0.4978 0.5022 0.0933 S
0.5022 0.4978 0.5933 S
0.6442 0.3558 0.3190 S
0.6899 0.3101 0.6933 S
0.7076 0.2924 0.9803 S
0.9475 0.0525 0.3629 S
```

Calculated values
ΔE_f (raw) in eV per atom: -1.352
E_tot in eV/atom: -4.53

Entry 2:
An optimized crystal structure of MgTiGaS4, computed with PBE.

```
MgTiGaS4
1.0
-3.5987 3.6801 5.3162
3.5987 -3.6801 5.3162
3.5987 3.6801 -5.3162
Mg Ti Ga S
2 2 2 8
Direct
0.3738 0.1238 0.2500 Mg
0.6262 0.8762 0.7500 Mg
0.0000 0.0000 0.5000 Ti
0.0000 0.5000 0.0000 Ti
0.0000 0.5000 0.5000 Ga
0.5000 0.5000 0.0000 Ga
0.2209 0.7372 0.4837 S
0.2306 0.2456 0.5150 S
0.2306 0.7155 0.9850 S
0.2465 0.2628 0.9837 S
0.7535 0.7372 0.0163 S
0.7694 0.2845 0.0150 S
0.7694 0.7544 0.4850 S
0.7791 0.2628 0.5163 S
```

Calculated values
ΔE_f (raw) in eV per atom: -1.056
E_tot in eV/atom: -5.20

Entry 3:
An optimized crystal structure of MgTl2GaS4, computed with PBE.

```
MgTl2GaS4
1.0
-3.4272 3.4272 4.4669
3.4272 -3.4272 4.4669
3.4272 3.4272 -4.4669
Mg Tl Ga S
1 2 1 4
Direct
0.0000 0.0000 0.0000 Mg
0.5000 0.5000 0.0000 Tl
0.7500 0.2500 0.5000 Tl
0.2500 0.7500 0.5000 Ga
0.1625 0.7084 0.1007 S
0.2916 0.3924 0.4541 S
0.6076 0.0617 0.8993 S
0.9383 0.8375 0.5459 S
```

Calculated values
ΔE_f (raw) in eV per atom: -0.619
E_tot in eV/atom: -3.85

Entry 4:
An optimized crystal structure of MgV2GaS, computed with PBE.

```
MgV2GaS
1.0
4.9637 0.0000 0.0000
0.0000 4.9637 0.0000
0.0000 0.0000 4.6849
Mg V Ga S
1 2 1 1
Direct
0.0000 0.0000 0.0000 Mg
0.0000 0.5000 0.0000 V
0.5000 0.0000 0.0000 V
0.0000 0.0000 0.5000 Ga
0.5000 0.5000 0.5000 S
```

Calculated values
ΔE_f (raw) in eV per atom: 1.398
E_tot in eV/atom: -4.00

Entry 5:
An optimized crystal structure of MgVGa2S, computed with PBE.

```
MgVGa2S
1.0
4.9821 0.0000 0.0000
0.0000 4.9821 0.0000
0.0000 0.0000 4.4075
Mg V Ga S
1 1 2 1
Direct
0.0000 0.0000 0.0000 Mg
0.5000 0.5000 0.0000 V
0.0000 0.5000 0.5000 Ga
0.5000 0.0000 0.5000 Ga
0.5000 0.5000 0.5000 S
```

Calculated values
ΔE_f (raw) in eV per atom: 0.311
E_tot in eV/atom: -3.87

Entry 6:
An optimized crystal structure of MgVGaS4, computed with PBE.

```
MgVGaS4
1.0
-3.5474 3.6333 5.3203
3.5474 -3.6333 5.3203
3.5474 3.6333 -5.3203
Mg V Ga S
2 2 2 8
Direct
0.3742 0.1242 0.2500 Mg
0.6258 0.8758 0.7500 Mg
0.0000 0.0000 0.5000 V
0.0000 0.5000 0.0000 V
0.0000 0.5000 0.5000 Ga
0.5000 0.5000 0.0000 Ga
0.2182 0.7363 0.4819 S
0.2299 0.2457 0.5158 S
0.2299 0.7140 0.9842 S
0.2456 0.2637 0.9819 S
0.7544 0.7363 0.0181 S
0.7701 0.2860 0.0158 S
0.7701 0.7543 0.4842 S
0.7818 0.2637 0.5181 S
```

Calculated values
ΔE_f (raw) in eV per atom: -0.886
E_tot in eV/atom: -5.21

Entry 7:
An optimized crystal structure of MgGaWS4, computed with PBE.

```
MgGaWS4
1.0
-3.4521 3.6973 5.4191
3.4521 -3.6973 5.4191
3.4521 3.6973 -5.4191
Mg Ga W S
2 2 2 8
Direct
0.0000 0.0000 0.0000 Mg
0.7500 0.2500 0.5000 Mg
0.3592 0.5990 0.7602 Ga
0.8388 0.5990 0.2398 Ga
0.3630 0.0640 0.7010 W
0.3630 0.6620 0.2990 W
0.0793 0.8395 0.2398 S
0.1426 0.4114 0.2688 S
0.1426 0.8738 0.7312 S
0.1555 0.3731 0.7824 S
0.5840 0.3287 0.7448 S
0.5840 0.8392 0.2552 S
0.5906 0.3731 0.2176 S
0.5997 0.8395 0.7602 S
```

Calculated values
ΔE_f (raw) in eV per atom: -0.725
E_tot in eV/atom: -5.59

Entry 8:
An optimized crystal structure of Mg2ZnGaS, computed with PBE.

```
Mg2ZnGaS
1.0
5.0688 0.0000 0.0000
0.0000 5.0688 0.0000
0.0000 0.0000 4.8143
Mg Zn Ga S
2 1 1 1
Direct
0.0000 0.5000 0.0000 Mg
0.5000 0.0000 0.0000 Mg
0.0000 0.0000 0.0000 Zn
0.5000 0.5000 0.5000 Ga
0.0000 0.0000 0.5000 S
```

Calculated values
ΔE_f (raw) in eV per atom: 0.287
E_tot in eV/atom: -2.04

Values of N(E_F), in order: 6.563; 2.768; 4.676; 6.459; 4.130; 3.839; 1.745; 3.855, all in states/eV/f.u..